DFT (PBE with a Hubbard U) results for a relaxed structure of FeCoN2O.

density: 5.261 g/cm³
DFT total energy: -5.4462 eV per atom

abc: 3.5867 3.5867 3.8962
angles: 90.00 90.00 90.00
Closest atoms and distances in Å follow each position.
Fractional positions:
1 Co 0.0000 0.0000 0.0000  4 N 1.79, 2 O 1.95
2 Fe 0.5000 0.5000 0.5000  4 O 2.54, 8 N 2.65
3 O 0.0000 0.0000 0.5000  2 Co 1.95
4 N 0.0000 0.5000 0.0000  2 Co 1.79
5 N 0.5000 0.0000 0.0000  2 Co 1.79